# DyPaW2N6 PBE-GGA optimized geometry
data_DyPaW2N6
_chemical_formula_sum 'Dy2 Pa2 W4 N12'
_symmetry_space_group_name_H-M 'P 1'
_symmetry_Int_Tables_number 1
_cell_length_a 6.059
_cell_length_b 7.118
_cell_length_c 7.118
_cell_angle_alpha 82.88
_cell_angle_beta 77.42
_cell_angle_gamma 77.42
loop_
_symmetry_equiv_pos_as_xyz
'x,y,z'
loop_
_atom_site_label
_atom_site_type_symbol
_atom_site_fract_x
_atom_site_fract_y
_atom_site_fract_z
W1 W 0.737 0.607 0.800
W2 W 0.763 0.200 0.393
W3 W 0.237 0.800 0.607
W4 W 0.263 0.393 0.200
Dy1 Dy 0.750 0.087 0.913
Dy2 Dy 0.250 0.913 0.087
Pa1 Pa 0.750 0.685 0.315
Pa2 Pa 0.250 0.315 0.685
N1 N 0.989 0.670 0.601
N2 N 0.110 0.635 0.121
N3 N 0.390 0.879 0.365
N4 N 0.489 0.601 0.670
N5 N 0.350 0.230 0.996
N6 N 0.150 0.004 0.770
N7 N 0.850 0.996 0.230
N8 N 0.650 0.770 0.004
N9 N 0.011 0.330 0.399
N10 N 0.511 0.399 0.330
N11 N 0.890 0.365 0.879
N12 N 0.610 0.121 0.635
# uncorrected energy	-9.95	eV/atom
# E_form (uncorrected)	-0.956	eV per atom
# calculated volume	14.57	A^3/atom
# total magnetic moment	0.000	μB per cell